Record 1
HoZr2As3, relaxed, DFT GGA-PBE; ρ = 7.3 Mg/m³; E_form = -7.29 eV per formula unit
1.0
-1.973 1.973 8.343
1.973 -1.973 8.343
1.973 1.973 -8.343
Ho Zr As
1 2 3
direct
0.000 0.000 0.000
0.334 0.334 0.000
0.666 0.666 0.000
0.830 0.830 0.000
0.500 0.500 0.000
0.170 0.170 0.000

Record 2
Ho2ZrAs3, relaxed, DFT GGA-PBE; ρ = 7.8 Mg/m³; E_form = -8.20 eV per formula unit
1.0
-1.303 -0.970 3.675
3.357 -2.115 0.633
2.744 8.475 1.014
As Ho Zr
3 2 1
direct
0.934 0.936 0.874
0.271 0.273 0.548
0.597 0.598 0.200
0.767 0.769 0.540
0.101 0.102 0.208
0.434 0.436 0.874